Record 1
## TlFe2Hg (PBE-GGA)

Data for crystalline TlFe2Hg at its relaxed geometry.

a = 4.1465 Å, b = 4.1465 Å, c = 8.1593 Å
α = 90.00°, β = 90.00°, γ = 90.00°
With the nearest neighbours (Å) after each atom.
Space group I4/mmm (No. 139)
Unique sites:
Tl  0.0000  0.0000  0.0000 (multiplicity 2)  8 Fe 2.91, 4 Hg 2.93
Fe  0.0000  0.5000  0.2500 (multiplicity 4)  4 Tl 2.91, 4 Hg 2.91, 4 Fe 2.93
Hg  0.0000  0.0000  0.5000 (multiplicity 2)  8 Fe 2.91, 4 Tl 2.93

Results
DFT formation energy: 0.584 eV/atom
ΔE to the lowest computed polymorph: 0.203 eV/atom

---

Record 2
## LaDy3Ho3 (PBE-GGA)

Data for crystalline LaDy3Ho3 at its relaxed geometry.

a = 9.5929 Å, b = 9.5929 Å, c = 5.6895 Å
α = 90.00°, β = 90.00°, γ = 120.00°
With the nearest neighbours (Å) after each atom.
Space group P6_3/m (No. 176)
Unique sites:
La  0.3333  0.6667  0.2500 (multiplicity 2)  9 Ho 3.53-3.63, 3 Dy 3.64
Dy  0.0474  0.2357  0.2500 (multiplicity 6)  6 Dy 3.52-3.59, 5 Ho 3.54-3.65, 1 La 3.64
Ho  0.0957  0.4760  0.7500 (multiplicity 6)  3 La 3.53-3.63, 4 Ho 3.54-3.62, 5 Dy 3.54-3.65

Results
DFT formation energy: 0.018 eV/atom
ΔE to the lowest computed polymorph: 0.000 eV/atom

---

Record 3
## AcThPb2O8 (PBE-GGA)

Data for crystalline AcThPb2O8 at its relaxed geometry.

a = 5.6461 Å, b = 5.6461 Å, c = 11.8158 Å
α = 90.00°, β = 90.00°, γ = 90.00°
With the nearest neighbours (Å) after each atom.
Space group I-4 (No. 82)
Unique sites:
Ac  0.0000  0.0000  0.0000 (multiplicity 2)  8 O 2.54-2.61
Th  0.0000  0.5000  0.7500 (multiplicity 2)  8 O 2.41-2.46
Pb  0.0000  0.0000  0.5000 (multiplicity 2)  4 O 2.12
Pb  0.0000  0.5000  0.2500 (multiplicity 2)  4 O 2.12
O  0.1766  0.2623  0.5970 (multiplicity 8)  1 Pb 2.12
O  0.2005  0.7574  0.1619 (multiplicity 8)  1 Pb 2.12

Results
E_form (uncorrected): -2.00 eV per atom

---

Record 4
## Ag2SbI (PBE-GGA)

Data for crystalline Ag2SbI at its relaxed geometry.

a = 7.3665 Å, b = 7.3665 Å, c = 7.3665 Å
α = 90.00°, β = 90.00°, γ = 90.00°
With the nearest neighbours (Å) after each atom.
Space group Fm-3m (No. 225)
Unique sites:
Ag  0.2500  0.2500  0.2500 (multiplicity 8)  4 Sb 3.19, 4 I 3.19
Sb  0.0000  0.0000  0.0000 (multiplicity 4)  8 Ag 3.19
I  0.0000  0.0000  0.5000 (multiplicity 4)  8 Ag 3.19

Results
ΔE to the lowest computed polymorph: 0.335 eV/atom
E_form (uncorrected): 0.48 eV per atom

---

Record 5
## Tb2NiGe4Rh3 (PBE-GGA)

Data for crystalline Tb2NiGe4Rh3 at its relaxed geometry.

a = 4.1684 Å, b = 4.1684 Å, c = 10.1926 Å
α = 90.00°, β = 90.00°, γ = 90.00°
With the nearest neighbours (Å) after each atom.
Space group P-4m2 (No. 115)
Unique sites:
Tb  0.0000  0.5000  0.2476 (multiplicity 2)  6 Rh 3.17-3.31, 8 Ge 3.20-3.27, 2 Ni 3.31
Ni  0.0000  0.0000  0.5000 (multiplicity 1)  4 Ge 2.47
Ge  0.0000  0.0000  0.0000 (multiplicity 1)  4 Rh 2.48
Ge  0.0000  0.5000  0.6291 (multiplicity 2)  3 Rh 2.43-2.47, 2 Ni 2.47
Ge  0.5000  0.5000  0.0000 (multiplicity 1)  4 Rh 2.48
Rh  0.0000  0.5000  0.8677 (multiplicity 2)  5 Ge 2.43-2.48
Rh  0.5000  0.5000  0.5000 (multiplicity 1)  4 Ge 2.47

Results
DFT formation energy: -0.779 eV/atom

---

Record 6
## CsLiTmI5 (PBE-GGA)

Data for crystalline CsLiTmI5 at its relaxed geometry.

a = 10.3236 Å, b = 13.8986 Å, c = 11.4630 Å
α = 90.00°, β = 112.88°, γ = 90.00°
With the nearest neighbours (Å) after each atom.
Space group C2/c (No. 15)
Unique sites:
Cs  0.0000  0.1549  0.2500 (multiplicity 4)  7 I 3.85-4.23
Li  0.0000  0.1932  0.7500 (multiplicity 4)  4 I 2.79-2.86
Tm  0.0000  0.5000  0.0000 (multiplicity 4)  6 I 3.01-3.02
I  0.0000  0.4321  0.2500 (multiplicity 4)  2 Tm 3.02
I  0.1001  0.3015  0.5980 (multiplicity 8)  1 Li 2.79, 1 Tm 3.01
I  0.2026  0.0688  0.9271 (multiplicity 8)  1 Li 2.86, 1 Tm 3.01

Results
E_form (uncorrected): -1.37 eV per atom

---

Record 7
## K3FeBr6 (PBE-GGA)

Data for crystalline K3FeBr6 at its relaxed geometry.

a = 12.9169 Å, b = 12.9169 Å, c = 15.5446 Å
α = 90.00°, β = 90.00°, γ = 120.00°
With the nearest neighbours (Å) after each atom.
Space group R-3 (No. 148, hexagonal axes)
Unique sites:
K  0.0515  0.2722  0.2026 (multiplicity 18)  6 Br 3.29-3.36
Fe  0.0000  0.0000  0.0000 (multiplicity 3)  6 Br 2.59
Fe  0.0000  0.0000  0.5000 (multiplicity 3)  6 Br 2.59
Br  0.0149  0.1714  0.4043 (multiplicity 18)  1 Fe 2.59
Br  0.0342  0.1784  0.9044 (multiplicity 18)  1 Fe 2.59

Results
E_form (uncorrected): -1.20 eV per atom

---

Record 8
## ErZrNbN3 (PBE-GGA)

Data for crystalline ErZrNbN3 at its relaxed geometry.

a = 5.6289 Å, b = 3.2465 Å, c = 8.4057 Å
α = 90.00°, β = 102.70°, γ = 90.00°
With the nearest neighbours (Å) after each atom.
Space group P2_1/m (No. 11)
Unique sites:
Er  0.1468  0.2500  0.1892 (multiplicity 2)  7 N 2.36-2.52
Zr  0.2672  0.7500  0.5496 (multiplicity 2)  6 N 2.24-2.34
Nb  0.3755  0.2500  0.8688 (multiplicity 2)  5 N 2.17-2.24
N  0.0555  0.2500  0.6637 (multiplicity 2)  1 Nb 2.20, 3 Zr 2.25-2.34, 2 Er 2.47
N  0.2362  0.7500  0.9942 (multiplicity 2)  3 Nb 2.17-2.24, 1 Er 2.36
N  0.4563  0.7500  0.3417 (multiplicity 2)  1 Nb 2.18, 3 Zr 2.24-2.29

Results
E_form (uncorrected): -1.50 eV per atom

---

| no. | calculated total energy (eV/atom) | M_tot (μB per atom) |
| --- | --- | --- |
| 1 | -4.3144 | 1.383 |
| 2 | -4.6197 | 0.000 |
| 3 | -6.8865 | 0.092 |
| 4 | -2.3628 | 0.000 |
| 5 | -6.3353 | 0.000 |
| 6 | -3.2413 | 0.000 |
| 7 | -3.3836 | 0.492 |
| 8 | -9.5292 | 0.000 |